No. 1
Compound: CrReSi2
Source: Alexandria
Functional: GGA-PBEsol
Structure: optimized geometry

a b c (Å): 2.945 4.542 4.669
angles (deg): 119.11 108.38 90.00
Positions (direct):
Cr 0.500 0.000 0.000
Si 0.760 0.760 0.519
Si 0.240 0.240 0.481
Re 0.000 0.500 0.000

total energy: -35.15 eV/f.u.
space group: No. 71
E_form (uncorrected): -2 kJ per mole of atoms
M_tot: 0.0 μB per cell

***

No. 2
Compound: CrRe3Si
Source: Alexandria
Functional: GGA-PBEsol
Structure: optimized geometry

a b c (Å): 4.343 4.343 4.343
angles (deg): 90.00 90.00 90.00
Last column: magnetic moment on the atom in μB.
Positions (direct):
Re 0.500 0.000 0.000  -0.33
Re 0.000 0.500 0.000  -0.33
Re 0.000 0.000 0.500  -0.33
Cr 0.500 0.500 0.500  2.82
Si 0.000 0.000 0.000  -0.01

total energy: -48.83 eV/f.u.
space group: No. 221
E_form (uncorrected): 138 kJ per mole of atoms
M_tot: 1.9 μB per cell